# MgTcAu2

A crystal of MgTcAu2 relaxed with PBEsol (SCAN, the Alexandria database).

Properties
* M_tot: 0.00 μB per formula unit
* energy of formation from the pure elements: 0.04 eV per atom
* density: 13.3 g/cm³

Unit cell a=2.8485 b=2.8485 c=27.4312 alpha=90.00 beta=90.00 gamma=120.00
Space group R-3m (No. 166, hexagonal axes)
Inequivalent atoms, fractional coordinates:
Mg (0.0000, 0.0000, 0.0000) (multiplicity 3)
Tc (0.0000, 0.0000, 0.5000) (multiplicity 3)
Au (0.0000, 0.0000, 0.2498) (multiplicity 6)

# MgTc2Au

A crystal of MgTc2Au relaxed with PBEsol (SCAN, the Alexandria database).

Properties
* M_tot: 0.00 μB per formula unit
* energy of formation from the pure elements: 0.12 eV per atom
* density: 11.4 g/cm³
* excess energy over the best structure of this formula in the dataset: 235 meV per atom

Unit cell a=6.242 b=6.242 c=6.242 alpha=90.00 beta=90.00 gamma=90.00
Space group F-43m (No. 216)
Inequivalent atoms, fractional coordinates:
Mg (0.000, 0.000, 0.000) (multiplicity 4)
Tc (0.000, 0.000, 0.500) (multiplicity 4)
Tc (0.250, 0.250, 0.750) (multiplicity 4)
Au (0.250, 0.250, 0.250) (multiplicity 4)

# MgTc2Au

A crystal of MgTc2Au relaxed with PBEsol (SCAN, the Alexandria database).

Properties
* M_tot: 0.00 μB per formula unit
* energy of formation from the pure elements: -0.12 eV per atom
* density: 11.0 g/cm³
* excess energy over the best structure of this formula in the dataset: 0 meV per atom

Unit cell a=2.939 b=2.939 c=7.303 alpha=90.00 beta=90.00 gamma=90.00
Space group P4mm (No. 99)
Inequivalent atoms, fractional coordinates:
Mg (0.000, 0.000, 0.000) (multiplicity 1)
Tc (0.000, 0.000, 0.461) (multiplicity 1)
Tc (0.500, 0.500, 0.271) (multiplicity 1)
Au (0.500, 0.500, 0.743) (multiplicity 1)

# MgTc2Au

A crystal of MgTc2Au relaxed with PBEsol (SCAN, the Alexandria database).

Properties
* M_tot: 0.00 μB per formula unit
* energy of formation from the pure elements: 0.19 eV per atom
* density: 11.4 g/cm³
* excess energy over the best structure of this formula in the dataset: 308 meV per atom

Unit cell a=5.148 b=8.745 c=2.709 alpha=90.00 beta=90.00 gamma=90.00
Space group Cmmm (No. 65)
Inequivalent atoms, fractional coordinates:
Mg (0.000, 0.000, 0.000) (multiplicity 2)
Tc (0.250, 0.250, 0.500) (multiplicity 4)
Au (0.000, 0.500, 0.000) (multiplicity 2)

# MgTeAu2

A crystal of MgTeAu2 relaxed with PBEsol (SCAN, the Alexandria database).

Properties
* M_tot: 0.00 μB per formula unit
* E_form (uncorrected): -23.2 kJ/mol of atoms
* density: 11.4 g/cm³

Unit cell a=5.664 b=6.623 c=4.251 alpha=90.00 beta=90.00 gamma=90.00
Space group Cmmm (No. 65)
Inequivalent atoms, fractional coordinates:
Mg (0.000, 0.000, 0.000) (multiplicity 2)
Te (0.000, 0.500, 0.000) (multiplicity 2)
Au (0.250, 0.250, 0.500) (multiplicity 4)

# MgTeAu2

A crystal of MgTeAu2 relaxed with PBEsol (SCAN, the Alexandria database).

Properties
* M_tot: 0.00 μB per formula unit
* E_form (uncorrected): -18.8 kJ/mol of atoms
* density: 11.3 g/cm³

Unit cell a=6.850 b=6.850 c=6.850 alpha=90.00 beta=90.00 gamma=90.00
Space group Fm-3m (No. 225)
Inequivalent atoms, fractional coordinates:
Mg (0.000, 0.000, 0.000) (multiplicity 4)
Te (0.000, 0.000, 0.500) (multiplicity 4)
Au (0.250, 0.250, 0.250) (multiplicity 8)

# MgTeAu2

A crystal of MgTeAu2 relaxed with PBEsol (SCAN, the Alexandria database).

Properties
* M_tot: 0.00 μB per formula unit
* E_form (uncorrected): -19.7 kJ/mol of atoms
* density: 11.5 g/cm³

Unit cell a=4.213 b=4.213 c=8.902 alpha=90.00 beta=90.00 gamma=90.00
Space group I-4m2 (No. 119)
Inequivalent atoms, fractional coordinates:
Mg (0.000, 0.000, 0.000) (multiplicity 2)
Te (0.000, 0.500, 0.250) (multiplicity 2)
Au (0.000, 0.000, 0.500) (multiplicity 2)
Au (0.000, 0.500, 0.750) (multiplicity 2)

# MgTiAu3

A crystal of MgTiAu3 relaxed with PBEsol (SCAN, the Alexandria database).

Properties
* M_tot: 1.00 μB per formula unit
* energy of formation from the pure elements: 0.27 eV per atom
* density: 9.4 g/cm³

Unit cell a=4.894 b=4.894 c=4.894 alpha=90.00 beta=90.00 gamma=90.00
Space group Pm-3m (No. 221)
Inequivalent atoms, fractional coordinates:
Mg (0.000, 0.000, 0.000) (multiplicity 1)
Ti (0.500, 0.500, 0.500) (multiplicity 1)
Au (0.000, 0.500, 0.500) (multiplicity 3)

# MgTi3Au

A crystal of MgTi3Au relaxed with PBEsol (SCAN, the Alexandria database).

Properties
* M_tot: 0.00 μB per formula unit
* energy of formation from the pure elements: 1.21 eV per atom
* density: 6.2 g/cm³

Unit cell a=4.616 b=4.616 c=4.616 alpha=90.00 beta=90.00 gamma=90.00
Space group Pm-3m (No. 221)
Inequivalent atoms, fractional coordinates:
Mg (0.000, 0.000, 0.000) (multiplicity 1)
Ti (0.000, 0.000, 0.500) (multiplicity 3)
Au (0.500, 0.500, 0.500) (multiplicity 1)

# MgTlAu2

A crystal of MgTlAu2 relaxed with PBEsol (SCAN, the Alexandria database).

Properties
* M_tot: 0.00 μB per formula unit
* energy of formation from the pure elements: -0.27 eV per atom
* density: 13.3 g/cm³

Unit cell a=9.422 b=3.713 c=4.652 alpha=90.00 beta=106.92 gamma=90.00
Space group Cm (No. 8)
Inequivalent atoms, fractional coordinates:
Mg (0.000, 0.000, 0.000) (multiplicity 2)
Tl (0.235, 0.000, 0.688) (multiplicity 2)
Au (0.237, 0.500, 0.187) (multiplicity 2)
Au (0.484, 0.000, 0.451) (multiplicity 2)

# Mg2TlAu

A crystal of Mg2TlAu relaxed with PBEsol (SCAN, the Alexandria database).

Properties
* M_tot: 0.00 μB per formula unit
* energy of formation from the pure elements: -0.45 eV per atom
* density: 9.2 g/cm³

Unit cell a=3.340 b=3.340 c=7.278 alpha=90.00 beta=90.00 gamma=90.00
Space group P4/mmm (No. 123)
Inequivalent atoms, fractional coordinates:
Mg (0.000, 0.000, 0.212) (multiplicity 2)
Tl (0.500, 0.500, 0.500) (multiplicity 1)
Au (0.500, 0.500, 0.000) (multiplicity 1)

# MgTlAu

A crystal of MgTlAu relaxed with PBEsol (SCAN, the Alexandria database).

Properties
* M_tot: 0.00 μB per formula unit
* energy of formation from the pure elements: -0.31 eV per atom
* density: 11.2 g/cm³

Unit cell a=3.305 b=3.305 c=11.601 alpha=90.00 beta=90.00 gamma=90.00
Space group I4mm (No. 107)
Inequivalent atoms, fractional coordinates:
Mg (0.000, 0.000, 0.000) (multiplicity 2)
Tl (0.000, 0.000, 0.300) (multiplicity 2)
Au (0.000, 0.000, 0.624) (multiplicity 2)